# 1
A geometry-optimized Mn2Zn2Cd structure. Source: the Alexandria database, functional GGA-PBE.

Results
Its polymorph energy (0 for the lowest one) is 0.091 eV per atom. As for the energy of formation from the pure elements: 1.2 eV/f.u.

abc: 7.467 7.467 2.841
angles: 90.00 90.00 90.00
Each line ends with the local moment (μB).
Sites, in units of the cell vectors:
Zn (0.172, 0.672, 0.500)  -0.06
Cd (0.500, 0.500, 0.000)  -0.03
Cd (0.000, 0.000, 0.000)  -0.03
Mn (0.124, 0.376, 0.000)  3.18
Mn (0.876, 0.624, 0.000)  3.18
Mn (0.624, 0.124, 0.000)  3.15
Zn (0.328, 0.172, 0.500)  -0.06
Zn (0.828, 0.328, 0.500)  -0.06
Zn (0.672, 0.828, 0.500)  -0.06
Mn (0.376, 0.876, 0.000)  3.15

# 2
A geometry-optimized Mn2ZnCd structure. Source: the Alexandria database, functional GGA-PBE.

Results
Its polymorph energy (0 for the lowest one) is 0.142 eV per atom. As for the energy of formation from the pure elements: 1.1 eV/f.u.

abc: 9.119 9.119 9.119
angles: 18.31 18.31 18.31
Each line ends with the local moment (μB).
Sites, in units of the cell vectors:
Zn (0.250, 0.250, 0.250)  -0.06
Mn (0.994, 0.994, 0.994)  3.51
Cd (0.750, 0.750, 0.750)  -0.03
Mn (0.506, 0.506, 0.506)  3.51

# 3
A geometry-optimized MnZnCd2 structure. Source: the Alexandria database, functional GGA-PBE.

Results
As for the energy of formation from the pure elements: 0.8 eV/f.u.

abc: 4.664 4.664 4.664
angles: 60.00 60.00 60.00
Each line ends with the local moment (μB).
Sites, in units of the cell vectors:
Cd (0.250, 0.250, 0.250)  -0.05
Cd (0.000, 0.000, 0.000)  -0.04
Mn (0.500, 0.500, 0.500)  3.61
Zn (0.750, 0.750, 0.750)  -0.06

no.,magnetic moment (μB per atom)
1,1.270
2,1.788
3,0.894